DFT (PBE-GGA) results for crystalline MnNbRh3 at its relaxed geometry.

CIF file:
```
data_MnNbRh3
_chemical_formula_sum 'Mn1 Nb1 Rh3'
_symmetry_space_group_name_H-M 'P 1'
_symmetry_Int_Tables_number 1
_symmetry_space_group_name_Hall 'P 1'
_cell_length_a 4.420
_cell_length_b 4.420
_cell_length_c 4.420
_cell_angle_alpha 90.00
_cell_angle_beta 90.00
_cell_angle_gamma 90.00
loop_
_atom_site_label
_atom_site_fract_x
_atom_site_fract_y
_atom_site_fract_z
Mn1 0.000 0.000 0.000
Nb1 0.500 0.500 0.500
Rh1 0.000 0.000 0.500
Rh2 0.000 0.500 0.000
Rh3 0.500 0.000 0.000
```

Results
total energy	-36.9	eV/cell
symmetry	Pm-3m
ΔH_f (0 K)	20.337	kcal/mol of atoms

=====

DFT (PBE-GGA) results for crystalline MnNb2Rh6 at its relaxed geometry.

CIF file:
```
data_MnNb2Rh6
_chemical_formula_sum 'Mn1 Nb2 Rh6'
_symmetry_space_group_name_H-M 'P 1'
_symmetry_Int_Tables_number 1
_symmetry_space_group_name_Hall 'P 1'
_cell_length_a 7.190
_cell_length_b 7.190
_cell_length_c 7.190
_cell_angle_alpha 145.97
_cell_angle_beta 131.11
_cell_angle_gamma 60.90
loop_
_atom_site_label
_atom_site_fract_x
_atom_site_fract_y
_atom_site_fract_z
Mn1 0.000 0.000 0.000
Nb1 0.337 0.337 0.000
Nb2 0.663 0.663 0.000
Rh1 0.082 0.836 0.246
Rh2 0.235 0.500 0.735
Rh3 0.410 0.164 0.246
Rh4 0.590 0.836 0.754
Rh5 0.765 0.500 0.265
Rh6 0.918 0.164 0.754
```

Results
total energy	-73.3	eV/cell
symmetry	Immm
ΔH_f (0 K)	0.421	kcal/mol of atoms

=====

DFT (PBE-GGA) results for crystalline Mn2NbRh at its relaxed geometry.

CIF file:
```
data_Mn2NbRh
_chemical_formula_sum 'Mn2 Nb1 Rh1'
_symmetry_space_group_name_H-M 'P 1'
_symmetry_Int_Tables_number 1
_symmetry_space_group_name_Hall 'P 1'
_cell_length_a 4.205
_cell_length_b 4.205
_cell_length_c 3.243
_cell_angle_alpha 90.00
_cell_angle_beta 90.00
_cell_angle_gamma 90.00
loop_
_atom_site_label
_atom_site_fract_x
_atom_site_fract_y
_atom_site_fract_z
Mn1 0.000 0.500 0.000
Mn2 0.500 0.000 0.000
Nb1 0.000 0.000 0.500
Rh1 0.500 0.500 0.500
```

Results
total energy	-36.3	eV/cell
symmetry	P4/mmm
ΔH_f (0 K)	-2.825	kcal/mol of atoms

=====

One value per record, in order, for calculated volume: 17.274, 17.242, 14.337 Å³/atom.